A relaxed structure of NaNdRuO4. Source: Alexandria via LeMat-Bulk, functional PBE.

Cell lengths 6.667, 6.667, 6.667 Å; angles 122.06, 114.20, 93.39 degrees
Sites, in units of the cell vectors:
1 Na 0.366 0.116 0.250
2 Na 0.634 0.884 0.750
3 Nd 0.000 0.500 0.500
4 Nd 0.500 0.500 0.000
5 Ru 0.000 0.000 0.500
6 Ru 0.000 0.500 0.000
7 O 0.179 0.245 0.934
8 O 0.189 0.755 0.434
9 O 0.220 0.241 0.522
10 O 0.220 0.698 0.978
11 O 0.780 0.302 0.022
12 O 0.780 0.759 0.478
13 O 0.811 0.245 0.566
14 O 0.821 0.755 0.066

## Properties
- Calculated volume: 15.27 Å³ per atom
- Theoretical density: 5.16 g cm⁻³
- DOS at the Fermi energy: 0.381 states/eV/atom
- ΔE_f (raw): -1862 meV/atom